Record 1
Li3YBi2: optimized geometry, PBE-GGA.

Output
**Space group**: C2/m
**Excess energy over the best structure of this formula in the dataset**: 9.3 kJ per mole of atoms
**Total magnetization**: 0.00 μB/cell
**Uncorrected energy**: -70.19 eV for the cell shown
**Calculated volume**: 23.51 Å³ per atom

abc: 4.4001 9.2008 10.9801
angles: 101.02 90.00 103.83
Fractional positions:
1 Li 0.0472 0.0945 0.3412
2 Bi 0.8067 0.6134 0.8532
3 Y 0.0000 0.0000 0.0000
4 Bi 0.5462 0.0924 0.8080
5 Li 0.2082 0.4165 0.4063
6 Li 0.6202 0.2403 0.2299
7 Li 0.7918 0.5835 0.5937
8 Y 0.1693 0.3387 0.7225
9 Li 0.9528 0.9055 0.6588
10 Li 0.3174 0.6347 0.0124
11 Bi 0.1933 0.3866 0.1468
12 Y 0.8307 0.6613 0.2775
13 Li 0.5000 0.0000 0.5000
14 Li 0.3798 0.7597 0.7701
15 Bi 0.4538 0.9076 0.1920
16 Bi 0.6428 0.2857 0.4994
17 Bi 0.3572 0.7143 0.5006
18 Li 0.6826 0.3653 0.9876



Record 2
Ta2Nb3W: optimized geometry, PBE-GGA.

Output
**Space group**: Cmmm
**Excess energy over the best structure of this formula in the dataset**: 0.0 kJ per mole of atoms
**Total magnetization**: 0.00 μB/cell
**Uncorrected energy**: -134.02 eV for the cell shown
**Calculated volume**: 17.82 Å³ per atom

abc: 4.6577 7.3614 6.5758
angles: 90.00 90.00 71.56
Fractional positions:
1 Nb 0.1687 0.6626 0.7559
2 Ta 0.0000 0.0000 0.0000
3 Ta 0.3337 0.3326 0.5000
4 Nb 0.5000 0.0000 0.2458
5 Nb 0.1686 0.6626 0.2441
6 Ta 0.6663 0.6674 0.5000
7 W 0.3340 0.3321 0.0000
8 Nb 0.8313 0.3374 0.2441
9 Nb 0.8314 0.3374 0.7559
10 Ta 0.0000 0.0000 0.5000
11 W 0.6660 0.6679 0.0000
12 Nb 0.5000 0.0000 0.7542



Record 3
Zr2ZnCl: optimized geometry, PBE-GGA.

Output
**Space group**: I-42d
**Excess energy over the best structure of this formula in the dataset**: 51.5 kJ per mole of atoms
**ΔE_f (raw)**: 1.25 kcal/mol of atoms
**Total magnetization**: 0.00 μB/cell
**Uncorrected energy**: -40.00 eV for the cell shown
**Calculated volume**: 21.72 Å³ per atom

abc: 4.2320 4.2320 10.1514
angles: 77.97 77.97 90.00
Fractional positions:
1 Cl 0.5000 0.5000 0.0000
2 Zr 0.8750 0.8741 0.7500
3 Cl 0.2500 0.7500 0.5000
4 Zr 0.6241 0.1250 0.2500
5 Zr 0.3750 0.3759 0.7500
6 Zn 0.0000 0.0000 0.0000
7 Zr 0.1259 0.6250 0.2500
8 Zn 0.7500 0.2500 0.5000



Record 4
Np5PaSe6: optimized geometry, PBE-GGA.

Output
**Space group**: C2/m
**ΔE_f (raw)**: -24.96 kcal/mol of atoms
**Total magnetization**: 22.18 μB/cell
**Uncorrected energy**: -108.10 eV for the cell shown
**Calculated volume**: 24.10 Å³ per atom

abc: 7.0692 7.0692 7.0894
angles: 99.57 99.57 120.05
Fractional positions:
1 Np 0.8338 0.1662 0.5000
2 Np 0.6669 0.3331 0.0000
3 Se 0.4194 0.0841 0.2520
4 Se 0.0841 0.4194 0.2520
5 Np 0.5000 0.5000 0.5000
6 Pa 0.0000 0.0000 0.0000
7 Se 0.2518 0.2518 0.7488
8 Se 0.9159 0.5806 0.7480
9 Se 0.5806 0.9159 0.7480
10 Np 0.3331 0.6669 0.0000
11 Se 0.7482 0.7482 0.2512
12 Np 0.1662 0.8338 0.5000



Record 5
AlCr2Cd2: optimized geometry, PBE-GGA.

Output
**Space group**: P4/mbm
**Excess energy over the best structure of this formula in the dataset**: 0.0 kJ per mole of atoms
**Total magnetization**: 0.02 μB/cell
**Uncorrected energy**: -45.31 eV for the cell shown
**Calculated volume**: 17.24 Å³ per atom

abc: 6.3258 6.3258 4.3084
angles: 90.00 90.00 90.00
Fractional positions:
1 Cd 0.8155 0.3155 0.5000
2 Cr 0.6086 0.1086 0.0000
3 Al 0.0000 0.0000 0.0000
4 Cd 0.1845 0.6845 0.5000
5 Cr 0.3914 0.8914 0.0000
6 Cr 0.8914 0.6086 0.0000
7 Cr 0.1086 0.3914 0.0000
8 Al 0.5000 0.5000 0.0000
9 Cd 0.3155 0.1845 0.5000
10 Cd 0.6845 0.8155 0.5000



Record 6
Nd2HoCuSe5: optimized geometry, PBE-GGA.

Output
**Space group**: Cmc2_1
**ΔE_f (raw)**: -36.76 kcal/mol of atoms
**Total magnetization**: 0.00 μB/cell
**Uncorrected energy**: -99.96 eV for the cell shown
**Calculated volume**: 24.32 Å³ per atom

abc: 4.0713 9.0761 12.1586
angles: 90.00 90.00 102.96
Fractional positions:
1 Ho 0.8065 0.6131 0.5106
2 Nd 0.1089 0.2178 0.6864
3 Se 0.6879 0.3757 0.8467
4 Se 0.2879 0.5757 0.6731
5 Se 0.7121 0.4243 0.1731
6 Nd 0.8774 0.7549 0.8094
7 Se 0.5008 0.0015 0.2804
8 Cu 0.5646 0.1293 0.9547
9 Se 0.9571 0.9141 0.5615
10 Se 0.4992 0.9985 0.7804
11 Se 0.0429 0.0859 0.0615
12 Nd 0.1226 0.2451 0.3094
13 Cu 0.4354 0.8707 0.4547
14 Nd 0.8911 0.7822 0.1864
15 Se 0.3563 0.7125 0.0012
16 Se 0.3121 0.6243 0.3467
17 Ho 0.1935 0.3869 0.0106
18 Se 0.6437 0.2875 0.5012



Record 7
AcTlSiS4: optimized geometry, PBE-GGA.

Output
**Space group**: P2_1/m
**ΔE_f (raw)**: -28.70 kcal/mol of atoms
**Total magnetization**: 0.00 μB/cell
**Uncorrected energy**: -74.24 eV for the cell shown
**Calculated volume**: 27.80 Å³ per atom

abc: 6.8411 6.6504 8.9091
angles: 90.00 106.20 90.00
Fractional positions:
1 Si 0.2108 0.7500 0.3105
2 S 0.0095 0.0022 0.2718
3 S 0.5979 0.2500 0.8388
4 S 0.9905 0.9978 0.7282
5 S 0.6225 0.2500 0.4451
6 Tl 0.2610 0.2500 0.0662
7 S 0.4021 0.7500 0.1612
8 S 0.3775 0.7500 0.5549
9 S 0.9905 0.5022 0.7282
10 S 0.0095 0.4978 0.2718
11 Tl 0.7390 0.7500 0.9338
12 Si 0.7892 0.2500 0.6895
13 Ac 0.7595 0.7500 0.4443
14 Ac 0.2405 0.2500 0.5557



Record 8
Pm6NdTl3: optimized geometry, PBE-GGA.

Output
**Space group**: P2_1/m
**Total magnetization**: 0.00 μB/cell
**Uncorrected energy**: -84.13 eV for the cell shown
**Calculated volume**: 32.32 Å³ per atom

abc: 5.7933 9.3231 12.7808
angles: 110.56 90.00 90.00
Fractional positions:
1 Pm 0.7500 0.2204 0.7171
2 Pm 0.2500 0.6132 0.9846
3 Tl 0.7500 0.7379 0.1548
4 Pm 0.7500 0.6624 0.8655
5 Nd 0.7500 0.5101 0.3233
6 Pm 0.2500 0.7796 0.2829
7 Tl 0.2500 0.6252 0.4715
8 Pm 0.2500 0.8977 0.8371
9 Pm 0.2500 0.2353 0.3787
10 Pm 0.2500 0.3376 0.1345
11 Tl 0.7500 0.0322 0.8889
12 Pm 0.7500 0.7647 0.6213
13 Pm 0.7500 0.3868 0.0154
14 Pm 0.2500 0.0052 0.5795
15 Tl 0.7500 0.3748 0.5285
16 Tl 0.2500 0.2621 0.8452
17 Tl 0.2500 0.9678 0.1111
18 Nd 0.2500 0.4899 0.6767
19 Pm 0.7500 0.9948 0.4205
20 Pm 0.7500 0.1023 0.1629



Record 9
HfZr2PH: optimized geometry, PBE-GGA.

Output
**Space group**: P4/mmm
**Total magnetization**: 0.00 μB/cell
**Uncorrected energy**: -37.82 eV for the cell shown
**Calculated volume**: 15.72 Å³ per atom

abc: 4.2210 4.4129 4.2210
angles: 90.00 90.00 90.00
Fractional positions:
1 P 0.5000 0.5000 0.5000
2 Hf 0.0000 0.5000 0.0000
3 Zr 0.5000 0.0000 0.0000
4 Zr 0.0000 0.0000 0.5000
5 H 0.0000 0.0000 0.0000



Record 10
Ca2Sm: optimized geometry, PBE-GGA.

Output
**Space group**: I4/mmm
**Excess energy over the best structure of this formula in the dataset**: 0.0 kJ per mole of atoms
**Total magnetization**: 0.01 μB/cell
**Uncorrected energy**: -8.43 eV for the cell shown
**Calculated volume**: 38.49 Å³ per atom

abc: 3.7383 3.7383 8.6756
angles: 102.44 102.44 90.00
Fractional positions:
1 Ca 0.3391 0.3391 0.6782
2 Ca 0.6609 0.6609 0.3218
3 Sm 0.0000 0.0000 0.0000



Record 11
MgZnHgBi: optimized geometry, PBE-GGA.

Output
**Space group**: F-43m
**Total magnetization**: 0.00 μB/cell
**Uncorrected energy**: -6.92 eV for the cell shown
**Calculated volume**: 24.07 Å³ per atom

abc: 5.1444 5.1444 5.1444
angles: 60.00 60.00 60.00
Fractional positions:
1 Bi 0.2500 0.2500 0.2500
2 Zn 0.0000 0.0000 0.0000
3 Mg 0.5000 0.5000 0.5000
4 Hg 0.7500 0.7500 0.7500



Record 12
KCu: optimized geometry, PBE-GGA.

Output
**Space group**: I-43m
**Excess energy over the best structure of this formula in the dataset**: 13.8 kJ per mole of atoms
**Total magnetization**: 0.00 μB/cell
**Uncorrected energy**: -35.38 eV for the cell shown
**Calculated volume**: 52.85 Å³ per atom

abc: 9.4565 9.4565 9.4565
angles: 90.00 90.00 90.00
Fractional positions:
1 Cu 0.9087 0.0913 0.0913
2 Cu 0.5913 0.5913 0.4087
3 K 0.7879 0.7879 0.2121
4 Cu 0.5913 0.4087 0.5913
5 K 0.2879 0.2879 0.7121
6 K 0.7879 0.2121 0.7879
7 K 0.2879 0.7121 0.2879
8 Cu 0.0913 0.9087 0.0913
9 K 0.7121 0.7121 0.7121
10 K 0.7121 0.2879 0.2879
11 K 0.2121 0.7879 0.7879
12 Cu 0.4087 0.4087 0.4087
13 Cu 0.0913 0.0913 0.9087
14 K 0.2121 0.2121 0.2121
15 Cu 0.9087 0.9087 0.9087
16 Cu 0.4087 0.5913 0.5913